[1]
Crystalline Tb3Tl3CuTe8 at its relaxed geometry, computed with PBE-GGA.

Results
The calculation puts the formation energy from raw total energies at -1051 kJ/mol of formula units. The calculation puts the total energy at -0.1497 hartree per atom. The spin magnetization is 0.0 μB per formula unit.

a b c (Å): 8.716 8.714 9.657
angles (deg): 116.81 90.00 120.01
Sites, in units of the cell vectors:
Tl (0.500, 0.500, 0.000)
Tb (0.500, 0.000, 0.500)
Te (0.261, 0.521, 0.282)
Te (0.758, 0.978, 0.699)
Te (0.218, 0.437, 0.697)
Te (0.739, 0.479, 0.718)
Cu (0.000, 0.000, 0.500)
Te (0.242, 0.022, 0.301)
Tl (0.000, 0.000, 0.000)
Tb (0.500, 0.500, 0.500)
Te (0.780, 0.022, 0.301)
Tl (0.000, 0.500, 0.000)
Te (0.782, 0.563, 0.303)
Tb (0.000, 0.500, 0.500)
Te (0.220, 0.978, 0.699)

=====

[2]
Crystalline TbNdSmPb at its relaxed geometry, computed with PBE-GGA.

Results
The calculation puts the total energy at -0.1689 hartree per atom. The formation enthalpy at 0 K is -0.141 eV per atom. The spin magnetization is 0.2 μB per formula unit.

a b c (Å): 5.575 5.575 5.575
angles (deg): 60.00 60.00 60.00
Sites, in units of the cell vectors:
Tb (0.750, 0.750, 0.750)
Nd (0.500, 0.500, 0.500)
Pb (0.250, 0.250, 0.250)
Sm (0.000, 0.000, 0.000)

=====

[3]
Crystalline ZnReSe2 at its relaxed geometry, computed with PBE-GGA.

Results
The calculation puts the formation energy from raw total energies at 46 kJ/mol of formula units. The calculation puts the total energy at -0.1858 hartree per atom. As for the offset from the most stable computed form: 0.0417 eV per atom. The spin magnetization is 0.0 μB per formula unit.

a b c (Å): 9.545 9.545 9.545
angles (deg): 19.03 19.03 19.03
Sites, in units of the cell vectors:
Se (0.019, 0.019, 0.019)
Re (0.750, 0.750, 0.750)
Se (0.481, 0.481, 0.481)
Zn (0.250, 0.250, 0.250)

=====

[4]
Crystalline ZnBiTe2I at its relaxed geometry, computed with PBE-GGA.

Results
The calculation puts the formation energy from raw total energies at 339 kJ/mol of formula units. The calculation puts the total energy at -0.0697 hartree per atom. As for the offset from the most stable computed form: 0.4637 eV per atom. The spin magnetization is 0.0 μB per formula unit.

a b c (Å): 5.986 5.168 5.986
angles (deg): 90.00 90.00 90.00
Sites, in units of the cell vectors:
Te (0.000, 0.000, 0.500)
I (0.000, 0.000, 0.000)
Bi (0.500, 0.500, 0.500)
Zn (0.000, 0.500, 0.000)
Te (0.500, 0.000, 0.000)

=====

[5]
Crystalline LaHoEr2P4 at its relaxed geometry, computed with PBE-GGA.

Results
The calculation puts the total energy at -0.2431 hartree per atom. The formation enthalpy at 0 K is -1.580 eV per atom. The spin magnetization is 0.0 μB per formula unit.

a b c (Å): 4.054 7.016 7.018
angles (deg): 70.58 90.00 90.00
Sites, in units of the cell vectors:
La (0.500, 0.500, 0.000)
P (0.000, 0.761, 0.739)
Ho (0.000, 0.500, 0.500)
Er (0.000, 0.000, 0.000)
Er (0.500, 0.000, 0.500)
P (0.500, 0.756, 0.254)
P (0.000, 0.239, 0.261)
P (0.500, 0.244, 0.746)

=====

[6]
Crystalline AcSn4Pb at its relaxed geometry, computed with PBE-GGA.

Results
The calculation puts the total energy at -0.1576 hartree per atom. The formation enthalpy at 0 K is -0.318 eV per atom. As for the offset from the most stable computed form: 0.0000 eV per atom. The spin magnetization is 0.0 μB per formula unit.

a b c (Å): 4.694 6.948 6.948
angles (deg): 61.20 70.26 70.26
Sites, in units of the cell vectors:
Sn (0.667, 0.545, 0.620)
Sn (0.333, 0.880, 0.955)
Ac (0.000, 0.000, 0.500)
Pb (0.000, 0.500, 0.000)
Sn (0.333, 0.455, 0.380)
Sn (0.667, 0.120, 0.045)

=====

[7]
Crystalline Pa3FeGe2 at its relaxed geometry, computed with PBE-GGA.

Results
The calculation puts the total energy at -0.2990 hartree per atom. The formation enthalpy at 0 K is -0.440 eV per atom. The spin magnetization is 0.0 μB per formula unit.

a b c (Å): 3.908 10.845 11.895
angles (deg): 90.00 90.00 90.00
Sites, in units of the cell vectors:
Pa (0.250, 0.449, 0.373)
Pa (0.750, 0.949, 0.127)
Pa (0.250, 0.732, 0.236)
Fe (0.750, 0.634, 0.371)
Ge (0.250, 0.807, 0.991)
Ge (0.750, 0.516, 0.191)
Pa (0.750, 0.884, 0.450)
Ge (0.750, 0.984, 0.691)
Pa (0.750, 0.551, 0.627)
Pa (0.250, 0.384, 0.050)
Ge (0.250, 0.484, 0.809)
Ge (0.250, 0.693, 0.491)
Pa (0.750, 0.232, 0.264)
Fe (0.250, 0.134, 0.129)
Pa (0.750, 0.616, 0.950)
Pa (0.250, 0.116, 0.550)
Ge (0.250, 0.016, 0.309)
Ge (0.750, 0.307, 0.509)
Ge (0.750, 0.193, 0.009)
Fe (0.250, 0.366, 0.629)
Fe (0.750, 0.866, 0.871)
Pa (0.750, 0.268, 0.764)
Pa (0.250, 0.051, 0.873)
Pa (0.250, 0.768, 0.736)

=====

[8]
Crystalline Tb6YEr2Tm at its relaxed geometry, computed with PBE-GGA.

Results
The calculation puts the total energy at -0.1715 hartree per atom. The formation enthalpy at 0 K is 0.116 eV per atom. The spin magnetization is 0.0 μB per formula unit.

a b c (Å): 9.504 8.772 8.772
angles (deg): 118.10 93.71 93.71
Sites, in units of the cell vectors:
Tb (0.880, 0.290, 0.503)
Tb (0.814, 0.432, 0.983)
Tb (0.686, 0.017, 0.568)
Er (0.956, 0.694, 0.801)
Tb (0.055, 0.125, 0.754)
Y (0.750, 0.023, 0.977)
Tm (0.250, 0.410, 0.590)
Tb (0.120, 0.710, 0.497)
Tb (0.555, 0.754, 0.125)
Y (0.250, 0.977, 0.023)
Er (0.544, 0.199, 0.306)
Tb (0.314, 0.983, 0.432)
Tb (0.945, 0.875, 0.246)
Tm (0.750, 0.590, 0.410)
Tb (0.380, 0.503, 0.290)
Tb (0.186, 0.568, 0.017)
Er (0.044, 0.306, 0.199)
Er (0.456, 0.801, 0.694)
Tb (0.620, 0.497, 0.710)
Tb (0.445, 0.246, 0.875)

=====

[9]
Crystalline Ba4InGa3 at its relaxed geometry, computed with PBE-GGA.

Results
The calculation puts the total energy at -0.1025 hartree per atom. The formation enthalpy at 0 K is -0.351 eV per atom. The spin magnetization is 0.0 μB per formula unit.

a b c (Å): 5.166 4.600 12.630
angles (deg): 90.00 90.00 90.00
Sites, in units of the cell vectors:
Ga (0.000, 0.000, 0.450)
Ba (0.500, 0.500, 0.365)
Ba (0.500, 0.000, 0.641)
Ga (0.500, 0.000, 0.929)
Ga (0.000, 0.500, 0.554)
Ba (0.000, 0.000, 0.148)
In (0.500, 0.500, 0.061)
Ba (0.000, 0.500, 0.851)

=====

[10]
Crystalline NaZrP2O at its relaxed geometry, computed with PBE-GGA.

Results
The calculation puts the formation energy from raw total energies at -313 kJ/mol of formula units. The calculation puts the total energy at -0.2124 hartree per atom. As for the offset from the most stable computed form: 0.0000 eV per atom. The spin magnetization is 2.3 μB per formula unit.

a b c (Å): 5.277 5.277 4.079
angles (deg): 90.00 90.00 90.00
Sites, in units of the cell vectors:
P (0.000, 0.500, 0.000)
Na (0.500, 0.500, 0.500)
Zr (0.000, 0.000, 0.000)
O (0.000, 0.000, 0.500)
P (0.500, 0.000, 0.000)

=====

[11]
Crystalline TaMn2Pt2 at its relaxed geometry, computed with PBE-GGA.

Results
The calculation puts the total energy at -0.3101 hartree per atom. The formation enthalpy at 0 K is 0.016 eV per atom. As for the offset from the most stable computed form: 0.1972 eV per atom. The spin magnetization is 0.0 μB per formula unit.

a b c (Å): 7.334 7.334 2.700
angles (deg): 90.00 90.00 90.00
Sites, in units of the cell vectors:
Pt (0.129, 0.371, 0.000)
Mn (0.830, 0.330, 0.500)
Mn (0.170, 0.670, 0.500)
Ta (0.500, 0.500, 0.000)
Pt (0.871, 0.629, 0.000)
Pt (0.371, 0.871, 0.000)
Mn (0.670, 0.830, 0.500)
Pt (0.629, 0.129, 0.000)
Ta (0.000, 0.000, 0.000)
Mn (0.330, 0.170, 0.500)

=====

[12]
Crystalline YSiSbW2 at its relaxed geometry, computed with PBE-GGA.

Results
The calculation puts the formation energy from raw total energies at 414 kJ/mol of formula units. The calculation puts the total energy at -0.2766 hartree per atom. The spin magnetization is 0.0 μB per formula unit.

a b c (Å): 4.598 5.307 4.598
angles (deg): 90.00 90.00 90.00
Sites, in units of the cell vectors:
Si (0.000, 0.000, 0.000)
W (0.500, 0.000, 0.000)
Sb (0.000, 0.500, 0.000)
W (0.000, 0.000, 0.500)
Y (0.500, 0.500, 0.500)

=====

[13]
Crystalline KNi2Pd at its relaxed geometry, computed with PBE-GGA.

Results
The calculation puts the total energy at -0.1340 hartree per atom. The formation enthalpy at 0 K is 0.816 eV per atom. As for the offset from the most stable computed form: 0.1822 eV per atom. The spin magnetization is 0.7 μB per formula unit.

a b c (Å): 4.540 4.540 4.540
angles (deg): 60.00 60.00 60.00
Sites, in units of the cell vectors:
Ni (0.250, 0.250, 0.250)
Ni (0.750, 0.750, 0.750)
K (0.000, 0.000, 0.000)
Pd (0.500, 0.500, 0.500)

=====

[14]
Crystalline Al2IO6 at its relaxed geometry, computed with PBE-GGA.

Results
The calculation puts the formation energy from raw total energies at -1332 kJ/mol of formula units. The calculation puts the total energy at -0.2147 hartree per atom. The spin magnetization is 0.0 μB per formula unit.

a b c (Å): 5.052 5.052 5.749
angles (deg): 63.94 63.94 60.00
Sites, in units of the cell vectors:
O (0.060, 0.399, 0.721)
O (0.940, 0.601, 0.279)
O (0.820, 0.060, 0.721)
Al (0.189, 0.189, 0.432)
O (0.601, 0.180, 0.279)
O (0.399, 0.820, 0.721)
I (0.000, 0.000, 0.000)
Al (0.811, 0.811, 0.568)
O (0.180, 0.940, 0.279)

=====

[15]
Crystalline HRuPtI2 at its relaxed geometry, computed with PBE-GGA.

Results
The calculation puts the total energy at -0.1273 hartree per atom. The spin magnetization is 0.0 μB per formula unit.

a b c (Å): 5.044 3.485 5.044
angles (deg): 90.00 90.00 90.00
Sites, in units of the cell vectors:
H (0.000, 0.000, 0.000)
Pt (0.500, 0.500, 0.500)
Ru (0.000, 0.500, 0.000)
I (0.000, 0.000, 0.500)
I (0.500, 0.000, 0.000)

=====

[16]
Crystalline Li2YMg at its relaxed geometry, computed with PBE-GGA.

Results
The calculation puts the total energy at -0.1055 hartree per atom. The formation enthalpy at 0 K is 0.101 eV per atom. The spin magnetization is 0.0 μB per formula unit.

a b c (Å): 5.520 5.520 5.520
angles (deg): 130.03 130.03 73.37
Sites, in units of the cell vectors:
Mg (0.500, 0.500, 0.000)
Y (0.750, 0.250, 0.500)
Li (0.000, 0.000, 0.000)
Li (0.250, 0.750, 0.500)

=====

[17]
Crystalline AlFe3As at its relaxed geometry, computed with PBE-GGA.

Results
The calculation puts the total energy at -0.2261 hartree per atom. The formation enthalpy at 0 K is 0.605 eV per atom. As for the offset from the most stable computed form: 0.0000 eV per atom. The spin magnetization is 5.9 μB per formula unit.

a b c (Å): 4.327 4.327 4.327
angles (deg): 90.00 90.00 90.00
Sites, in units of the cell vectors:
Al (0.500, 0.500, 0.500)
As (0.000, 0.000, 0.000)
Fe (0.000, 0.000, 0.500)
Fe (0.500, 0.000, 0.000)
Fe (0.000, 0.500, 0.000)

=====

[18]
Crystalline SrTeN2 at its relaxed geometry, computed with PBE-GGA.

Results
The calculation puts the formation energy from raw total energies at 148 kJ/mol of formula units. The calculation puts the total energy at -0.1832 hartree per atom. The spin magnetization is 0.0 μB per formula unit.

a b c (Å): 6.955 6.955 6.955
angles (deg): 32.70 32.70 32.70
Sites, in units of the cell vectors:
Sr (0.500, 0.500, 0.500)
N (0.100, 0.100, 0.100)
N (0.900, 0.900, 0.900)
Te (0.000, 0.000, 0.000)

=====

[19]
Crystalline Rb2NbPt3O12 at its relaxed geometry, computed with PBE-GGA.

Results
The calculation puts the formation energy from raw total energies at -1697 kJ/mol of formula units. The calculation puts the total energy at -0.2189 hartree per atom. The spin magnetization is 2.8 μB per formula unit.

a b c (Å): 7.408 7.408 7.408
angles (deg): 58.40 58.40 58.40
Sites, in units of the cell vectors:
O (0.920, 0.326, 0.326)
O (0.080, 0.674, 0.674)
Pt (0.000, 0.000, 0.500)
O (0.677, 0.068, 0.068)
O (0.068, 0.677, 0.068)
O (0.674, 0.080, 0.674)
Nb (0.000, 0.000, 0.000)
O (0.068, 0.068, 0.677)
Pt (0.000, 0.500, 0.000)
O (0.326, 0.920, 0.326)
Rb (0.626, 0.626, 0.626)
Rb (0.374, 0.374, 0.374)
O (0.932, 0.932, 0.323)
O (0.323, 0.932, 0.932)
O (0.932, 0.323, 0.932)
O (0.674, 0.674, 0.080)
O (0.326, 0.326, 0.920)
Pt (0.500, 0.000, 0.000)

=====

[20]
Crystalline Pm3Nd2ThAs6 at its relaxed geometry, computed with PBE-GGA.

Results
The calculation puts the total energy at -0.2370 hartree per atom. The formation enthalpy at 0 K is -1.522 eV per atom. The spin magnetization is 0.0 μB per formula unit.

a b c (Å): 4.255 8.506 9.500
angles (deg): 102.85 102.94 90.00
Sites, in units of the cell vectors:
As (0.334, 0.919, 0.669)
As (0.666, 0.585, 0.332)
Nd (0.832, 0.664, 0.665)
Pm (0.500, 0.500, 0.000)
Nd (0.168, 0.336, 0.335)
As (0.999, 0.248, 0.999)
As (0.334, 0.415, 0.668)
Pm (0.168, 0.832, 0.335)
Th (0.500, 0.000, 0.000)
As (0.001, 0.752, 0.001)
Pm (0.832, 0.168, 0.665)
As (0.666, 0.081, 0.331)

=====

[21]
Crystalline CeFeCl6 at its relaxed geometry, computed with PBE-GGA.

Results
The calculation puts the formation energy from raw total energies at -1129 kJ/mol of formula units. The calculation puts the total energy at -0.1708 hartree per atom. The spin magnetization is 4.0 μB per formula unit.

a b c (Å): 6.347 6.946 6.946
angles (deg): 125.48 97.81 97.81
Sites, in units of the cell vectors:
Ce (0.500, 0.500, 0.500)
Cl (0.230, 0.085, 0.367)
Cl (0.230, 0.367, 0.085)
Cl (0.237, 0.759, 0.759)
Cl (0.770, 0.915, 0.633)
Fe (0.000, 0.000, 0.000)
Cl (0.770, 0.633, 0.915)
Cl (0.763, 0.241, 0.241)

=====

[22]
Crystalline PrSN at its relaxed geometry, computed with PBE-GGA.

Results
The calculation puts the formation energy from raw total energies at -319 kJ/mol of formula units. The calculation puts the total energy at -0.2516 hartree per atom. As for the offset from the most stable computed form: 0.1827 eV per atom. The spin magnetization is 0.0 μB per formula unit.

a b c (Å): 4.174 4.208 9.514
angles (deg): 93.08 90.00 119.74
Sites, in units of the cell vectors:
S (0.172, 0.343, 0.678)
Pr (0.162, 0.325, 0.185)
Pr (0.838, 0.675, 0.815)
N (0.433, 0.866, 0.037)
S (0.828, 0.657, 0.322)
N (0.567, 0.134, 0.963)

=====

[23]
Crystalline Tb2Dy3HoBi6 at its relaxed geometry, computed with PBE-GGA.

Results
The calculation puts the total energy at -0.1877 hartree per atom. The formation enthalpy at 0 K is -0.862 eV per atom. The spin magnetization is 0.0 μB per formula unit.

a b c (Å): 4.474 8.953 10.005
angles (deg): 102.87 102.92 90.00
Sites, in units of the cell vectors:
Tb (0.167, 0.333, 0.333)
Dy (0.500, 0.500, 0.000)
Bi (0.666, 0.082, 0.333)
Dy (0.833, 0.167, 0.666)
Bi (0.334, 0.416, 0.667)
Bi (0.000, 0.249, 0.999)
Dy (0.167, 0.833, 0.334)
Bi (0.666, 0.584, 0.333)
Bi (0.334, 0.918, 0.667)
Ho (0.500, 0.000, 0.000)
Tb (0.833, 0.667, 0.667)
Bi (0.000, 0.751, 0.001)

=====

[24]
Crystalline MgTa2Ir at its relaxed geometry, computed with PBE-GGA.

Results
The calculation puts the total energy at -0.3178 hartree per atom. The formation enthalpy at 0 K is -0.107 eV per atom. The spin magnetization is 0.0 μB per formula unit.

a b c (Å): 5.328 5.328 4.878
angles (deg): 68.72 68.72 32.71
Sites, in units of the cell vectors:
Ta (0.765, 0.765, 0.766)
Ta (0.011, 0.011, 0.969)
Ir (0.492, 0.492, 0.472)
Mg (0.233, 0.233, 0.294)